Record 1
GGA-PBE ScZnCuGe, relaxed; calculated density = 6.24 g/cm3; electronic total energy = -4.2261 eV per atom; total magnetic moment = 0.00 μB per cell
1.0
2.998 -2.635 -2.137
-0.649 -4.477 -0.186
-1.107 -1.966 -3.925
Cu Ge Sc Zn
1 1 1 1
Direct
0.750 0.750 0.750
0.250 0.250 0.250
0.500 0.500 0.500
0.000 0.000 0.000


Record 2
GGA-PBE ScZnCuGe, relaxed; calculated density = 6.29 g/cm3; electronic total energy = -4.2327 eV per atom; total magnetic moment = 0.00 μB per cell
1.0
0.000 3.193 3.193
3.193 0.000 3.193
3.193 3.193 0.000
Ge Zn Cu Sc
1 1 1 1
Direct
0.000 0.000 0.000
0.500 0.500 0.500
0.250 0.250 0.250
0.750 0.750 0.750


Record 3
GGA-PBE ZrScCuGe, relaxed; calculated density = 6.18 g/cm3; electronic total energy = -5.6919 eV per atom; total magnetic moment = 2.37 μB per cell
1.0
1.236 -4.110 -1.901
2.795 -2.935 2.368
-1.732 -4.004 1.734
Sc Ge Cu Zr
1 1 1 1
Direct
0.500 0.500 0.500
0.000 0.000 0.000
0.750 0.750 0.750
0.250 0.250 0.250


Record 4
GGA-PBE Cu2GeSe3, relaxed; calculated density = 5.37 g/cm3; electronic total energy = -3.9353 eV per atom
1.0
-4.565 -4.830 1.835
6.371 -1.824 -1.902
1.998 0.479 6.231
Cu Se Ge
4 6 2
Direct
0.329 0.000 0.391
0.000 0.000 0.855
0.671 0.671 0.391
0.000 0.329 0.391
0.667 0.333 0.486
0.000 0.324 0.015
0.676 0.676 0.015
0.333 0.667 0.486
0.324 0.000 0.015
0.000 0.000 0.491
0.667 0.333 0.857
0.333 0.667 0.857


Record 5
GGA-PBE Cu2GeSe3, relaxed; calculated density = 5.43 g/cm3; electronic total energy = -3.9904 eV per atom
1.0
5.921 -3.432 0.000
5.921 3.432 0.000
0.000 0.000 6.567
Se Ge Cu
6 2 4
Direct
0.837 0.502 0.385
0.502 0.837 0.885
0.163 0.498 0.885
0.175 0.825 0.380
0.825 0.175 0.880
0.498 0.163 0.385
0.827 0.173 0.494
0.173 0.827 0.994
0.172 0.497 0.517
0.497 0.172 0.017
0.503 0.828 0.517
0.828 0.503 0.017


Record 6
GGA-PBE Sm3CuGeSe7, relaxed; calculated density = 6.43 g/cm3; electronic total energy = -5.2102 eV per atom; total magnetic moment = 0.00 μB per cell
1.0
10.538 0.000 0.000
-5.269 9.126 0.000
0.000 0.000 6.123
Sm Se Cu Ge
6 14 2 2
Direct
0.869 0.645 0.253
0.131 0.355 0.753
0.224 0.869 0.753
0.355 0.224 0.253
0.776 0.131 0.253
0.645 0.776 0.753
0.333 0.667 0.951
0.741 0.838 0.231
0.421 0.518 0.499
0.259 0.162 0.731
0.096 0.259 0.231
0.904 0.741 0.731
0.838 0.096 0.731
0.096 0.579 0.499
0.579 0.482 0.999
0.482 0.904 0.499
0.162 0.904 0.231
0.518 0.096 0.999
0.904 0.421 0.999
0.667 0.333 0.451
0.000 0.000 0.717
0.000 0.000 0.217
0.667 0.333 0.835
0.333 0.667 0.335


Record 7
GGA-PBE SmCuGeSe3, relaxed; calculated density = 6.26 g/cm3; electronic total energy = -4.7371 eV per atom; total magnetic moment = 0.00 μB per cell
1.0
10.731 0.000 0.000
0.000 6.569 1.970
0.000 -6.569 1.970
Se Cu Ge Sm
6 2 2 2
Direct
0.578 0.350 0.650
0.750 0.091 0.909
0.078 0.650 0.350
0.250 0.909 0.091
0.422 0.650 0.350
0.922 0.350 0.650
0.750 0.473 0.527
0.250 0.527 0.473
0.750 0.773 0.227
0.250 0.227 0.773
0.500 0.000 0.000
0.000 0.000 0.000


Record 8
GGA-PBE SmCuGeTeSe2, relaxed; calculated density = 6.26 g/cm3; electronic total energy = -4.6009 eV per atom; total magnetic moment = 0.00 μB per cell
1.0
3.077 -0.060 -6.315
-3.581 3.725 4.759
9.658 3.312 4.675
Ge Te Cu Se Sm
2 2 2 4 2
Direct
0.200 0.800 0.250
0.800 0.200 0.750
0.103 0.897 0.750
0.897 0.103 0.250
0.527 0.473 0.250
0.473 0.527 0.750
0.357 0.643 0.921
0.357 0.643 0.579
0.643 0.357 0.079
0.643 0.357 0.421
0.000 0.000 0.500
0.000 0.000 0.000